A plane-wave DFT calculation with GGA-PBE was carried out for crystalline KMoP2 at its relaxed geometry.

```
KMoP2
1.0
-0.748 1.786 2.480
-2.694 -1.537 0.294
3.355 -4.998 4.613
Mo P K
1 2 1
Direct
0.500 0.500 0.750
0.000 0.000 0.926
0.000 0.000 0.574
0.500 0.500 0.250
```

ΔE to the lowest computed polymorph   33.3 meV/atom
DOS(E_F)   2.3 states/eV per cell
E_tot   -23.83 eV for the cell shown
E_form   -0.2697 eV per atom
Total magnetization   0.000 μB/cell